Entry from Alexandria via LeMat-Bulk: a crystal of CsBiAsBr2 relaxed with PBEsol (SCAN).

extended XYZ file:
```
5
Lattice="5.996 0.000 0.000 0.000 6.288 0.000 0.000 0.000 6.288" Properties=species:S:1:pos:R:3 pbc="T T T"
Cs 0.000 0.000 0.000
As 2.998 0.000 0.000
Bi 2.998 3.144 3.144
Br 0.000 0.000 3.144
Br 0.000 3.144 0.000
```

Summary:
For the uncorrected formation energy, the calculation gives 579 meV per atom.